This record from OQMD describes a relaxed structure of KNaPtW. The functional is PBE.

Unit cell a=6.733 b=6.733 c=6.733 alpha=90.00 beta=90.00 gamma=90.00
Space group F-43m (No. 216)
Asymmetric unit:
K1 0.000 0.000 0.000 [4 per cell]
Na1 0.250 0.250 0.250 [4 per cell]
Pt1 0.000 0.000 0.500 [4 per cell]
W1 0.250 0.250 0.750 [4 per cell]

Output
crystal system = cubic
calculated total energy = -4.27 eV/atom

This record from OQMD describes a relaxed structure of KNaPtW. The functional is PBE.

Unit cell a=7.028 b=7.028 c=7.028 alpha=90.00 beta=90.00 gamma=90.00
Space group F-43m (No. 216)
Asymmetric unit:
K1 0.000 0.000 0.000 [4 per cell]
Na1 0.250 0.250 0.750 [4 per cell]
Pt1 0.250 0.250 0.250 [4 per cell]
W1 0.000 0.000 0.500 [4 per cell]

Output
crystal system = cubic
calculated total energy = -4.15 eV/atom

This record from OQMD describes a relaxed structure of KNaPu. The functional is PBE.

Unit cell a=8.425 b=8.425 c=8.425 alpha=90.00 beta=90.00 gamma=90.00
Space group F-43m (No. 216)
Asymmetric unit:
K1 0.000 0.000 0.000 [4 per cell]
Na1 0.250 0.250 0.250 [4 per cell]
Pu1 0.000 0.000 0.500 [4 per cell]

Output
crystal system = cubic
calculated total energy = -4.64 eV/atom

This record from OQMD describes a relaxed structure of KNaPuSe3. The functional is PBE.

Unit cell a=4.377 b=14.614 c=11.263 alpha=90.00 beta=90.00 gamma=90.00
Space group Cmcm (No. 63)
Asymmetric unit:
K1 0.000 0.222 0.250 [4 per cell]
Na1 0.000 0.060 0.750 [4 per cell]
Pu1 0.000 0.500 0.000 [4 per cell]
Se1 0.000 0.125 0.523 [8 per cell]
Se2 0.000 0.448 0.750 [4 per cell]

Output
crystal system = orthorhombic
calculated total energy = -5.69 eV/atom

This record from OQMD describes a relaxed structure of K3NaRe2Te6. The functional is PBE.

Unit cell a=7.413 b=12.846 c=8.442 alpha=90.00 beta=107.46 gamma=90.00
Space group C2/m (No. 12)
Asymmetric unit:
K1 0.000 0.000 0.000 [2 per cell]
K2 0.000 0.349 0.000 [4 per cell]
Na1 0.000 0.500 0.500 [2 per cell]
Re1 0.000 0.167 0.500 [4 per cell]
Te1 0.179 0.000 0.681 [4 per cell]
Te2 0.244 0.193 0.314 [8 per cell]

Output
crystal system = monoclinic
calculated total energy = -4.32 eV/atom

This record from OQMD describes a relaxed structure of KNaReTe3. The functional is PBE.

Unit cell a=7.439 b=12.678 c=8.185 alpha=90.00 beta=106.05 gamma=90.00
Space group C2/m (No. 12)
Asymmetric unit:
K1 0.000 0.149 0.000 [4 per cell]
Na1 0.000 0.000 0.500 [2 per cell]
Na2 0.000 0.500 0.000 [2 per cell]
Re1 0.000 0.331 0.500 [4 per cell]
Te1 0.162 0.500 0.693 [4 per cell]
Te2 0.248 0.310 0.312 [8 per cell]

Output
crystal system = monoclinic
calculated total energy = -4.32 eV/atom

- calculated total energy of number 5 (K3NaRe2Te6)?
  -4.32 eV/atom